Record 1
SrPt4Br (PBE, optimized geometry); E_form (uncorrected) = -1.76 eV per formula unit; size of the total moment = 0.0 μB per formula unit; DOS(E_F) = 8.382 states/eV per cell; symmetry = F-43m; raw total energy = -4.880 eV/atom
1.0
0.000 3.899 3.899
3.899 0.000 3.899
3.899 3.899 0.000
Sr Pt Br
1 4 1
direct
0.750 0.750 0.750 Sr
0.375 0.375 0.375 Pt
0.375 0.375 0.875 Pt
0.375 0.875 0.375 Pt
0.875 0.375 0.375 Pt
0.000 0.000 0.000 Br

***

Record 2
TiSbIrI2 (PBE, optimized geometry); relative energy among the computed polymorphs = 0 meV/atom; E_form (uncorrected) = 4.21 eV per formula unit; size of the total moment = 0.0 μB per formula unit; DOS(E_F) = 7.827 states/eV per cell; symmetry = P4/mmm; raw total energy = -3.954 eV/atom
1.0
5.508 0.000 0.000
0.000 5.508 0.000
0.000 0.000 5.030
I Ir Sb Ti
2 1 1 1
direct
0.500 0.000 0.000 I
0.000 0.500 0.000 I
0.000 0.000 0.000 Ir
0.000 0.000 0.500 Sb
0.500 0.500 0.500 Ti

***

Record 3
PrThBi (PBE, optimized geometry); size of the total moment = 0.0 μB per formula unit; DOS(E_F) = 4.540 states/eV per cell; ΔE_f = -0.1127 eV/atom; symmetry = P3m1; raw total energy = -5.473 eV/atom
1.0
3.643 0.000 0.000
0.000 5.614 0.000
0.000 -2.807 4.862
Th Bi Pr
1 1 1
direct
0.071 0.000 0.000 Th
0.325 0.333 0.667 Bi
0.604 0.667 0.333 Pr